First-principles (SCAN) data for a PBEsol-optimized structure of Al7Te10, as listed in Alexandria.

Output
The space group is R32 (155). The uncorrected energy comes out at -25.587 eV per atom.

a b c (Å): 10.2321 10.2321 10.2321
angles (deg): 89.49 89.49 89.49
Last column: nearest neighbours and their distance in Å.
Positions (direct):
Te 0.8331 0.8331 0.8331  3 Al 2.67
Te 0.0742 0.6673 0.5748  3 Al 2.66-2.68
Te 0.5626 0.2333 0.3158  3 Al 2.65-2.67
Te 0.4374 0.6842 0.7667  3 Al 2.65-2.67
Te 0.9258 0.4252 0.3327  3 Al 2.66-2.68
Te 0.6842 0.7667 0.4374  3 Al 2.65-2.67
Te 0.0000 0.8276 0.1724  2 Al 2.56
Te 0.3327 0.9258 0.4252  3 Al 2.66-2.68
Te 0.5000 0.9122 0.0878  2 Al 2.58
Te 0.9122 0.0878 0.5000  2 Al 2.58
Te 0.5748 0.0742 0.6673  3 Al 2.66-2.68
Te 0.1669 0.1669 0.1669  3 Al 2.67
Te 0.7667 0.4374 0.6842  3 Al 2.65-2.67
Te 0.1724 0.0000 0.8276  2 Al 2.56
Te 0.2333 0.3158 0.5626  3 Al 2.65-2.67
Te 0.8276 0.1724 0.0000  2 Al 2.56
Te 0.4252 0.3327 0.9258  3 Al 2.66-2.68
Te 0.0878 0.5000 0.9122  2 Al 2.58
Te 0.6673 0.5748 0.0742  3 Al 2.66-2.68
Te 0.3158 0.5626 0.2333  3 Al 2.65-2.67
Al 0.8861 0.8489 0.5772  4 Te 2.58-2.67
Al 0.5772 0.8861 0.8489  4 Te 2.58-2.67
Al 0.1511 0.1139 0.4228  4 Te 2.58-2.67
Al 0.8489 0.5772 0.8861  4 Te 2.58-2.67
Al 0.5720 0.5720 0.5720  1 Al 2.58, 3 Te 2.67
Al 0.8346 0.6583 0.2547  4 Te 2.56-2.68
Al 0.4228 0.1511 0.1139  4 Te 2.58-2.67
Al 0.6583 0.2547 0.8346  4 Te 2.56-2.68
Al 0.7453 0.3417 0.1654  4 Te 2.56-2.68
Al 0.3417 0.1654 0.7453  4 Te 2.56-2.68
Al 0.1654 0.7453 0.3417  4 Te 2.56-2.68
Al 0.2547 0.8346 0.6583  4 Te 2.56-2.68
Al 0.1139 0.4228 0.1511  4 Te 2.58-2.67
Al 0.4280 0.4280 0.4280  1 Al 2.58, 3 Te 2.67